Record 1
GGA-PBE LiSmU2As4, relaxed; DFT total energy = -6.806 eV per atom; V = 24.6 A^3/atom; crystal system = monoclinic; N(E_F) = 1.560 states/eV per atom; ΔE_f = -0.830 eV per atom
1.0
-0.2840 -3.0881 2.6997
7.0099 -0.8755 -0.2639
-1.6071 4.6761 5.1799
As Li U Sm
4 1 2 1
direct
0.0000 0.2465 0.7354 As
0.5000 0.7437 0.7412 As
0.5000 0.2563 0.2588 As
0.0000 0.7535 0.2646 As
0.5000 0.5000 0.0000 Li
0.0000 0.5000 0.5000 U
0.5000 0.0000 0.5000 U
0.0000 0.0000 0.0000 Sm

Record 2
GGA-PBE Ce2Al3Zn4Ag, relaxed; DFT total energy = -3.402 eV per atom; V = 19.6 A^3/atom; crystal system = tetragonal; N(E_F) = 1.287 states/eV per atom; ΔE_f = -0.298 eV per atom
1.0
-1.9856 1.0837 3.6429
-3.3140 -2.5059 -1.0609
4.6370 -8.2401 4.9786
Al Zn Ce Ag
3 4 2 1
direct
0.0000 0.0000 0.5000 Al
0.5000 0.0000 0.8685 Al
0.0000 0.5000 0.1315 Al
0.0000 0.5000 0.3608 Zn
0.0000 0.0000 0.0000 Zn
0.5000 0.5000 0.0000 Zn
0.5000 0.0000 0.6392 Zn
0.0000 0.5000 0.7579 Ce
0.5000 0.0000 0.2421 Ce
0.5000 0.5000 0.5000 Ag

Record 3
GGA-PBE Pa2MoOs, relaxed; excess energy over the best structure of this formula in the dataset = 607 meV per atom; DFT total energy = -9.686 eV per atom; V = 24.3 A^3/atom; crystal system = trigonal; N(E_F) = 1.265 states/eV per atom; ΔE_f = 0.577 eV per atom
1.0
3.6111 0.0000 0.0000
1.8056 3.1273 0.0000
1.8056 1.0424 8.6178
Mo Os Pa
1 1 2
direct
0.0000 0.0000 0.0000 Mo
0.5000 0.5000 0.5000 Os
0.9033 0.9033 0.2901 Pa
0.0967 0.0967 0.7099 Pa

Record 4
GGA-PBE La8Tb2Pr, relaxed; excess energy over the best structure of this formula in the dataset = 0 meV per atom; DFT total energy = -4.728 eV per atom; V = 36.1 A^3/atom; crystal system = monoclinic; N(E_F) = 1.829 states/eV per atom; ΔE_f = 0.131 eV per atom
1.0
-4.4346 -3.6619 3.7369
-4.9519 1.1004 -4.7981
5.8574 -6.5744 -2.4724
La Pr Tb
8 1 2
direct
0.0737 0.4052 0.8104 La
0.4136 0.3544 0.1723 La
0.8104 0.1989 0.3978 La
0.9263 0.5948 0.1896 La
0.1896 0.8011 0.6022 La
0.5864 0.6456 0.8277 La
0.5864 0.1821 0.8277 La
0.4136 0.8179 0.1723 La
0.0000 0.0000 0.0000 Pr
0.6776 0.7574 0.5149 Tb
0.3224 0.2426 0.4851 Tb